Below is a relaxed structure of RbMn2VO, with properties calculated at the PBE+U level.

a b c (Å): 6.8518 6.4488 6.8518
angles (deg): 90.00 90.00 90.00
Closest atoms and distances in Å follow each position.
Fractional coordinates of all 5 atoms:
Mn 0.0000 0.0000 0.5000  2 Rb 3.43
Mn 0.5000 0.0000 0.0000  2 Rb 3.43
V 0.0000 0.5000 0.0000  2 Rb 3.22
Rb 0.0000 0.0000 0.0000  2 V 3.22, 4 Mn 3.43
O 0.5000 0.5000 0.5000  8 Mn 4.70, 4 V 4.84

## Properties
* uncorrected energy: -3.3864 eV/atom